[1]
Material: Cd2AgB
Method: DFT, PBE-GGA
State: optimized geometry

a = 4.903 Å, b = 4.903 Å, c = 8.151 Å
α = 72.50°, β = 72.50°, γ = 90.00°
Element x y z (fractional)
B: 0.500 0.500 0.000
B: 0.250 0.750 0.500
Ag: 0.000 0.000 0.000
Ag: 0.750 0.250 0.500
Cd: 0.525 0.125 0.250
Cd: 0.225 0.625 0.250
Cd: 0.375 0.475 0.750
Cd: 0.875 0.775 0.750

Values from the calculation:
Formation energy from the elements ... 0.874 eV/atom
Calculated density ... 6.43 g/cm3
N(E_F) ... 0.35 states/eV/atom
Volume ... 22.2 Å³/atom



[2]
Material: CdAgB2
Method: DFT, PBE-GGA
State: optimized geometry

a = 5.890 Å, b = 5.890 Å, c = 5.606 Å
α = 58.31°, β = 58.31°, γ = 90.00°
Element x y z (fractional)
B: 0.601 0.125 0.250
B: 0.149 0.625 0.250
B: 0.375 0.399 0.750
B: 0.875 0.851 0.750
Ag: 0.500 0.500 0.000
Ag: 0.250 0.750 0.500
Cd: 0.000 0.000 0.000
Cd: 0.750 0.250 0.500

Values from the calculation:
Formation energy from the elements ... 1.443 eV/atom
Calculated density ... 6.17 g/cm3
N(E_F) ... 0.42 states/eV/atom
Volume ... 16.3 Å³/atom



[3]
Material: CdAg3B
Method: DFT, PBE-GGA
State: optimized geometry

a = 4.414 Å, b = 4.414 Å, c = 4.414 Å
α = 90.00°, β = 90.00°, γ = 90.00°
Element x y z (fractional)
B: 0.000 0.000 0.000
Ag: 0.000 0.500 0.000
Ag: 0.000 0.000 0.500
Ag: 0.500 0.000 0.000
Cd: 0.500 0.500 0.500

Values from the calculation:
Formation energy from the elements ... 0.392 eV/atom
Calculated density ... 8.63 g/cm3
E above lowest polymorph ... 0.0000 eV per atom
N(E_F) ... 0.28 states/eV/atom
Volume ... 17.2 Å³/atom



[4]
Material: HfCdAgB2
Method: DFT, PBE-GGA
State: optimized geometry

a = 4.284 Å, b = 4.932 Å, c = 4.284 Å
α = 90.00°, β = 90.00°, γ = 90.00°
Element x y z (fractional)
B: 0.000 0.000 0.500
B: 0.500 0.000 0.000
Hf: 0.500 0.500 0.500
Ag: 0.000 0.500 0.000
Cd: 0.000 0.000 0.000

Values from the calculation:
Formation energy from the elements ... 1.690 eV/atom
Calculated density ... 7.71 g/cm3
N(E_F) ... 0.55 states/eV/atom
Volume ... 18.1 Å³/atom



[5]
Material: LaCdAg2B
Method: DFT, PBE-GGA
State: optimized geometry

a = 4.645 Å, b = 4.704 Å, c = 4.645 Å
α = 90.00°, β = 90.00°, γ = 90.00°
Element x y z (fractional)
B: 0.000 0.000 0.000
Cd: 0.000 0.500 0.000
Ag: 0.000 0.000 0.500
Ag: 0.500 0.000 0.000
La: 0.500 0.500 0.500

Values from the calculation:
Formation energy from the elements ... 0.205 eV/atom
Calculated density ... 7.82 g/cm3
N(E_F) ... 0.69 states/eV/atom
Volume ... 20.3 Å³/atom



[6]
Material: NaCd2AgB
Method: DFT, PBE-GGA
State: optimized geometry

a = 5.365 Å, b = 4.212 Å, c = 5.365 Å
α = 90.00°, β = 90.00°, γ = 90.00°
Element x y z (fractional)
Na: 0.500 0.500 0.500
B: 0.000 0.500 0.000
Ag: 0.000 0.000 0.000
Cd: 0.000 0.000 0.500
Cd: 0.500 0.000 0.000

Values from the calculation:
Formation energy from the elements ... 0.641 eV/atom
Calculated density ... 5.02 g/cm3
N(E_F) ... 0.47 states/eV/atom
Volume ... 24.2 Å³/atom